(1)
Entry from Alexandria: a relaxed NaSc2Zn crystal (PBE).

abc: 4.2367 4.2367 21.5245
angles: 90.00 90.00 90.00
With the nearest neighbours (Å) after each atom.
Space group I-42d (No. 122)
Unique sites:
Na (0.0000, 0.0000, 0.0000) x4  4 Zn 3.00, 4 Sc 3.10
Sc (0.2332, 0.2500, 0.6250) x8  4 Sc 2.90-3.10, 2 Zn 3.06, 2 Na 3.10
Zn (0.0000, 0.0000, 0.5000) x4  4 Na 3.00, 4 Sc 3.06

Results
size of the total moment = 0.78 μB/f.u.
raw total energy = -3.400 eV per atom

(2)
Entry from Alexandria: a relaxed Na3ScZn crystal (PBE).

abc: 5.4664 5.4664 5.4664
angles: 90.00 90.00 90.00
With the nearest neighbours (Å) after each atom.
Space group Pm-3m (No. 221)
Unique sites:
Na (0.0000, 0.0000, 0.5000) x3  2 Zn 2.73
Sc (0.5000, 0.5000, 0.5000) x1  12 Na 3.87
Zn (0.0000, 0.0000, 0.0000) x1  6 Na 2.73

Results
offset from the most stable computed form = 0 meV/atom
size of the total moment = 0.75 μB/f.u.
raw total energy = -1.737 eV per atom

(3)
Entry from Alexandria: a relaxed Na2ScZn9 crystal (PBE).

abc: 5.2956 5.2956 25.6787
angles: 90.00 90.00 120.00
With the nearest neighbours (Å) after each atom.
Space group R-3m (No. 166, hexagonal axes)
Unique sites:
Na (0.0000, 0.0000, 0.1433) x6  12 Zn 3.09-3.17, 3 Na 3.28
Sc (0.0000, 0.0000, 0.0000) x3  18 Zn 3.06-3.38
Zn (0.0000, 0.0000, 0.3340) x6  6 Zn 2.59-2.60
Zn (0.0000, 0.0000, 0.5000) x3  6 Zn 2.67
Zn (0.0028, 0.5014, 0.9183) x18  7 Zn 2.59-2.67

Results
size of the total moment = 0.00 μB/f.u.
raw total energy = -1.792 eV per atom

(4)
Entry from Alexandria: a relaxed Na3ScZn crystal (PBE).

abc: 6.4467 6.4467 6.4467
angles: 90.00 90.00 90.00
With the nearest neighbours (Å) after each atom.
Space group Pm-3m (No. 221)
Unique sites:
Na (0.0000, 0.0000, 0.5000) x3  2 Sc 3.22
Sc (0.0000, 0.0000, 0.0000) x1  6 Na 3.22
Zn (0.5000, 0.5000, 0.5000) x1  12 Na 4.56

Results
offset from the most stable computed form = 386 meV/atom
size of the total moment = 1.38 μB/f.u.
raw total energy = -1.351 eV per atom

(5)
Entry from Alexandria: a relaxed Na2ScZn2 crystal (PBE).

abc: 7.1401 7.1401 4.7982
angles: 90.00 90.00 90.00
With the nearest neighbours (Å) after each atom.
Space group P4/mbm (No. 127)
Unique sites:
Na (0.1736, 0.3264, 0.0000) x4  6 Zn 3.14-3.23, 1 Na 3.51
Sc (0.0000, 0.0000, 0.5000) x2  4 Zn 2.82
Zn (0.1257, 0.6257, 0.5000) x4  1 Zn 2.54, 2 Sc 2.82

Results
offset from the most stable computed form = 34 meV/atom
size of the total moment = 0.00 μB/f.u.
raw total energy = -2.144 eV per atom

(6)
Entry from Alexandria: a relaxed NaSc3Zn crystal (PBE).

abc: 5.2021 5.2021 5.2021
angles: 90.00 90.00 90.00
With the nearest neighbours (Å) after each atom.
Space group Pm-3m (No. 221)
Unique sites:
Na (0.0000, 0.0000, 0.0000) x1  12 Sc 3.68
Sc (0.0000, 0.5000, 0.5000) x3  2 Zn 2.60
Zn (0.5000, 0.5000, 0.5000) x1  6 Sc 2.60

Results
offset from the most stable computed form = 0 meV/atom
size of the total moment = 1.74 μB/f.u.
raw total energy = -3.963 eV per atom

(7)
Entry from Alexandria: a relaxed NaSc2Zn2 crystal (PBE).

abc: 7.9772 7.9772 3.3583
angles: 90.00 90.00 90.00
With the nearest neighbours (Å) after each atom.
Space group P4/mbm (No. 127)
Unique sites:
Na (0.0000, 0.0000, 0.0000) x2  4 Zn 3.08, 2 Na 3.36
Sc (0.1529, 0.3471, 0.5000) x4  6 Zn 2.87-2.88
Zn (0.1392, 0.6392, 0.0000) x4  6 Sc 2.87-2.88, 2 Na 3.08, 1 Zn 3.14

Results
offset from the most stable computed form = 0 meV/atom
size of the total moment = 0.00 μB/f.u.
raw total energy = -3.382 eV per atom

(8)
Entry from Alexandria: a relaxed Na2Sc2Zn crystal (PBE).

abc: 6.8992 6.8992 5.1771
angles: 90.00 90.00 90.00
With the nearest neighbours (Å) after each atom.
Space group P4/mbm (No. 127)
Unique sites:
Na (0.1336, 0.3664, 0.0000) x4  1 Na 2.61, 2 Zn 2.69
Sc (0.1821, 0.6821, 0.5000) x4  6 Na 3.15-3.40
Zn (0.0000, 0.0000, 0.0000) x2  4 Na 2.69

Results
offset from the most stable computed form = 0 meV/atom
size of the total moment = 1.34 μB/f.u.
raw total energy = -2.830 eV per atom